## Sr2TiCo2O6 (PBE with a Hubbard U)

Data for a geometry-optimized Sr2TiCo2O6 structure.

## Properties
The calculation puts the total DFT energy (no corrections) at -0.494 Ry per atom. The density of states at the Fermi level is 0.53 states/eV/atom. Its symmetry is No. 166.

Lattice parameters (Å, degrees): 5.846 5.846 6.138 61.56 61.56 60.00
Last column: magnetic moment on the atom in μB.
Element x y z (fractional)
1 O 0.233 0.233 0.760  0.12
2 O 0.774 0.233 0.760  0.12
3 O 0.233 0.774 0.760  0.12
4 Sr 0.783 0.783 0.651  0.00
5 O 0.767 0.226 0.240  0.12
6 O 0.767 0.767 0.240  0.12
7 Ti 0.000 0.000 0.000  0.07
8 Sr 0.217 0.217 0.349  0.00
9 Co 0.427 0.427 0.718  2.49
10 Co 0.573 0.573 0.282  2.49
11 O 0.226 0.767 0.240  0.12